A geometry-optimized MoWF6 structure, computed with PBE with a Hubbard U.

a = 5.434 Å, b = 5.433 Å, c = 5.851 Å
α = 62.31°, β = 62.32°, γ = 59.98°
Each line ends with the local moment (μB).
Positions (direct):
F 0.251 0.876 0.251  0.03
F 0.124 0.378 0.749  0.03
F 0.378 0.749 0.749  0.03
F 0.749 0.124 0.749  0.03
F 0.622 0.251 0.251  0.03
F 0.876 0.622 0.251  0.03
W 0.000 0.000 0.000  2.83
Mo 0.500 0.500 0.500  2.81

Calculated values
The calculation puts the calculated density at 5.18 g/cm³. The calculation puts the uncorrected energy at -5.775 eV/atom. Its total magnetization is 0.750 μB/atom.